Entry 1:
Density functional theory data (GGA-PBE) for a relaxed Cs4Na5Li crystal.

Its raw total energy is -1.1180 eV per atom. For the volume, the calculation gives 65.71 A^3/atom. For the formation energy, the calculation gives 7 kJ per mole of atoms. Its space-group type is I4, No. 79.

Unit cell a=9.8146 b=9.8146 c=9.8146 alpha=100.33 beta=100.33 gamma=129.89
With the nearest neighbours (Å) after each atom.
Element x y z (fractional)
Cs (0.0604, 0.3042, 0.3646)  4 Na 4.25-4.52, 1 Li 4.31
Cs (0.3042, 0.9396, 0.2438)  4 Na 4.25-4.52, 1 Li 4.31
Cs (0.6958, 0.0604, 0.7562)  4 Na 4.25-4.52, 1 Li 4.31
Cs (0.9396, 0.6958, 0.6354)  4 Na 4.25-4.52, 1 Li 4.31
Na (0.2021, 0.2021, 0.0000)  1 Li 3.52, 4 Na 3.64
Na (0.3267, 0.5980, 0.9008)  1 Li 3.39, 3 Na 3.63-3.64
Na (0.4259, 0.3267, 0.7287)  1 Li 3.39, 3 Na 3.63-3.64
Na (0.5980, 0.6972, 0.2713)  1 Li 3.39, 3 Na 3.63-3.64
Na (0.6972, 0.4259, 0.0992)  1 Li 3.39, 3 Na 3.63-3.64
Li (0.7787, 0.7787, 0.0000)  5 Na 3.39-3.52

Entry 2:
Density functional theory data (GGA-PBE) for a relaxed KGaBiO4 crystal.

Its raw total energy is -5.3503 eV per atom. For the volume, the calculation gives 17.54 A^3/atom. The calculation puts the energy relative to the elements, uncorrected at -132.5 kJ/mol of atoms. Its space-group type is P2_1/m, No. 11.

Unit cell a=5.7428 b=6.0044 c=7.4119 alpha=90.00 beta=106.11 gamma=90.00
With the nearest neighbours (Å) after each atom.
Element x y z (fractional)
K (0.1138, 0.2500, 0.1047)  2 O 2.58-2.73
K (0.8862, 0.7500, 0.8953)  2 O 2.58-2.73
Ga (0.3868, 0.2500, 0.6783)  4 O 1.85-1.90
Ga (0.6132, 0.7500, 0.3217)  4 O 1.85-1.90
Bi (0.1849, 0.7500, 0.4720)  6 O 2.18-2.43
Bi (0.8151, 0.2500, 0.5280)  6 O 2.18-2.43
O (0.1602, 0.0204, 0.6834)  1 Ga 1.90
O (0.1602, 0.4796, 0.6834)  1 Ga 1.90
O (0.2864, 0.7500, 0.1972)  1 Ga 1.85
O (0.4200, 0.2500, 0.4327)  1 Ga 1.88
O (0.5800, 0.7500, 0.5673)  1 Ga 1.88
O (0.7136, 0.2500, 0.8028)  1 Ga 1.85
O (0.8398, 0.5204, 0.3166)  1 Ga 1.90
O (0.8398, 0.9796, 0.3166)  1 Ga 1.90

Entry 3:
Density functional theory data (GGA-PBE) for a relaxed Ce2DyHoBi4 crystal.

Its raw total energy is -5.3923 eV per atom. For the volume, the calculation gives 32.99 A^3/atom. For the formation energy, the calculation gives -79 kJ per mole of atoms. Its space-group type is P2/m, No. 10.

Unit cell a=7.8455 b=4.5390 c=7.8630 alpha=90.00 beta=109.51 gamma=90.00
With the nearest neighbours (Å) after each atom.
Element x y z (fractional)
Ce (0.0000, 0.0000, 0.0000)  6 Bi 3.24
Ce (0.0000, 0.5000, 0.5000)  6 Bi 3.24
Dy (0.5000, 0.0000, 0.5000)  6 Bi 3.18
Ho (0.5000, 0.5000, 0.0000)  6 Bi 3.17
Bi (0.2573, 0.5000, 0.2520)  1 Ho 3.17, 2 Dy 3.18, 3 Ce 3.24
Bi (0.2576, 0.0000, 0.7530)  2 Ho 3.17, 1 Dy 3.18, 3 Ce 3.24
Bi (0.7424, 0.0000, 0.2470)  2 Ho 3.17, 1 Dy 3.18, 3 Ce 3.24
Bi (0.7427, 0.5000, 0.7480)  1 Ho 3.17, 2 Dy 3.18, 3 Ce 3.24

Entry 4:
Density functional theory data (GGA-PBE) for a relaxed BaZr2Sc crystal.

The value obtained for the polymorph energy (0 for the lowest one) is 0.241 eV/atom. Its raw total energy is -5.8146 eV per atom. For the volume, the calculation gives 27.22 A^3/atom. For the formation energy, the calculation gives 50 kJ per mole of atoms. Its space-group type is Cmmm, No. 65.

Unit cell a=5.9931 b=5.9931 c=3.2999 alpha=90.00 beta=90.00 gamma=113.29
With the nearest neighbours (Å) after each atom.
Element x y z (fractional)
Ba (0.0000, 0.0000, 0.0000)  2 Sc 3.30, 2 Ba 3.30, 8 Zr 3.42
Zr (0.0000, 0.5000, 0.5000)  4 Zr 3.30, 4 Sc 3.42, 4 Ba 3.42
Zr (0.5000, 0.0000, 0.5000)  4 Zr 3.30, 4 Sc 3.42, 4 Ba 3.42
Sc (0.5000, 0.5000, 0.0000)  2 Ba 3.30, 2 Sc 3.30, 8 Zr 3.42

Entry 5:
Density functional theory data (GGA-PBE) for a relaxed Y2PbBr crystal.

The value obtained for the polymorph energy (0 for the lowest one) is 0.095 eV/atom. Its raw total energy is -5.2518 eV per atom. For the volume, the calculation gives 29.09 A^3/atom. The calculation puts the energy relative to the elements, uncorrected at -65.1 kJ/mol of atoms. Its space-group type is Imm2, No. 44.

Unit cell a=7.7504 b=7.7504 c=7.7504 alpha=152.46 beta=147.18 gamma=43.36
With the nearest neighbours (Å) after each atom.
Element x y z (fractional)
Y (0.0000, 0.0000, 0.0000)  2 Pb 3.09, 4 Br 3.15
Y (0.7542, 0.2542, 0.5000)  2 Br 2.98, 4 Pb 3.17
Pb (0.3488, 0.8488, 0.5000)  6 Y 3.09-3.17
Br (0.5915, 0.5915, 0.0000)  6 Y 2.98-3.15

Entry 6:
Density functional theory data (GGA-PBE) for a relaxed Dy2BeCu crystal.

The value obtained for the polymorph energy (0 for the lowest one) is 0.012 eV/atom. Its raw total energy is -4.3205 eV per atom. For the volume, the calculation gives 20.42 A^3/atom. For the formation energy, the calculation gives -6 kJ per mole of atoms. Its space-group type is Fm-3m, No. 225.

Unit cell a=4.8700 b=4.8700 c=4.8700 alpha=60.00 beta=60.00 gamma=60.00
With the nearest neighbours (Å) after each atom.
Element x y z (fractional)
Dy (0.2500, 0.2500, 0.2500)  4 Cu 2.98, 4 Be 2.98
Dy (0.7500, 0.7500, 0.7500)  4 Be 2.98, 4 Cu 2.98
Be (0.0000, 0.0000, 0.0000)  8 Dy 2.98
Cu (0.5000, 0.5000, 0.5000)  8 Dy 2.98

Entry 7:
Density functional theory data (GGA-PBE) for a relaxed CoPt5Rh crystal.

Its raw total energy is -6.2691 eV per atom. For the volume, the calculation gives 15.66 A^3/atom. For the formation energy, the calculation gives 11 kJ per mole of atoms. Its space-group type is P4/mmm, No. 123.

Unit cell a=3.8891 b=3.8891 c=7.2490 alpha=90.00 beta=90.00 gamma=90.00
With the nearest neighbours (Å) after each atom.
Element x y z (fractional)
Co (0.0000, 0.0000, 0.0000)  8 Pt 2.52
Pt (0.0000, 0.5000, 0.2206)  2 Co 2.52, 6 Pt 2.75-2.81, 2 Rh 2.81
Pt (0.0000, 0.5000, 0.7794)  2 Co 2.52, 6 Pt 2.75-2.81, 2 Rh 2.81
Pt (0.5000, 0.0000, 0.2206)  2 Co 2.52, 6 Pt 2.75-2.81, 2 Rh 2.81
Pt (0.5000, 0.0000, 0.7794)  2 Co 2.52, 6 Pt 2.75-2.81, 2 Rh 2.81
Pt (0.5000, 0.5000, 0.5000)  4 Rh 2.75, 8 Pt 2.81
Rh (0.0000, 0.0000, 0.5000)  12 Pt 2.75-2.81

Entry 8:
Density functional theory data (GGA-PBE) for a relaxed MnTlSi2 crystal.

The value obtained for the polymorph energy (0 for the lowest one) is 0.486 eV/atom. Its raw total energy is -4.9774 eV per atom. For the volume, the calculation gives 18.07 A^3/atom. The calculation puts the energy relative to the elements, uncorrected at 59.6 kJ/mol of atoms. Its space-group type is I-4m2, No. 119.

Unit cell a=5.2478 b=5.2478 c=5.2478 alpha=134.55 beta=134.55 gamma=66.23
With the nearest neighbours (Å) after each atom.
Element x y z (fractional)
Mn (0.0000, 0.0000, 0.0000)  8 Si 2.87-2.99, 4 Tl 2.99
Tl (0.7500, 0.2500, 0.5000)  8 Si 2.87-2.99, 4 Mn 2.99
Si (0.2500, 0.7500, 0.5000)  4 Tl 2.87, 4 Si 2.99, 4 Mn 2.99
Si (0.5000, 0.5000, 0.0000)  4 Mn 2.87, 4 Tl 2.99, 4 Si 2.99

Entry 9:
Density functional theory data (GGA-PBE) for a relaxed VOs3Pd crystal.

The value obtained for the polymorph energy (0 for the lowest one) is 0.976 eV/atom. Its raw total energy is -6.9195 eV per atom. For the volume, the calculation gives 20.80 A^3/atom. For the formation energy, the calculation gives 259 kJ per mole of atoms. Its space-group type is Pm-3m, No. 221.

Unit cell a=4.7029 b=4.7029 c=4.7029 alpha=90.00 beta=90.00 gamma=90.00
With the nearest neighbours (Å) after each atom.
Element x y z (fractional)
V (0.0000, 0.0000, 0.0000)  12 Os 3.33
Os (0.0000, 0.5000, 0.5000)  2 Pd 2.35
Os (0.5000, 0.0000, 0.5000)  2 Pd 2.35
Os (0.5000, 0.5000, 0.0000)  2 Pd 2.35
Pd (0.5000, 0.5000, 0.5000)  6 Os 2.35

Entry 10:
Density functional theory data (GGA-PBE) for a relaxed Pm4Nd15Dy crystal.

Its raw total energy is -4.7425 eV per atom. For the volume, the calculation gives 34.93 A^3/atom. For the formation energy, the calculation gives 1 kJ per mole of atoms. Its space-group type is P4/mmm, No. 123.

Unit cell a=5.1931 b=5.1931 c=25.9016 alpha=90.00 beta=90.00 gamma=90.00
With the nearest neighbours (Å) after each atom.
Element x y z (fractional)
Pm (0.0000, 0.0000, 0.1003)  12 Nd 3.67
Pm (0.0000, 0.0000, 0.3008)  12 Nd 3.67
Pm (0.0000, 0.0000, 0.6992)  12 Nd 3.67
Pm (0.0000, 0.0000, 0.8997)  12 Nd 3.67
Nd (0.0000, 0.5000, 0.0000)  8 Nd 3.67, 4 Pm 3.67
Nd (0.0000, 0.5000, 0.2005)  8 Nd 3.67-3.68, 4 Pm 3.67
Nd (0.0000, 0.5000, 0.4011)  8 Nd 3.65-3.67, 2 Dy 3.65, 2 Pm 3.67
Nd (0.0000, 0.5000, 0.5989)  8 Nd 3.65-3.67, 2 Dy 3.65, 2 Pm 3.67
Nd (0.0000, 0.5000, 0.7995)  8 Nd 3.67-3.68, 4 Pm 3.67
Nd (0.5000, 0.0000, 0.0000)  8 Nd 3.67, 4 Pm 3.67
Nd (0.5000, 0.0000, 0.2005)  8 Nd 3.67-3.68, 4 Pm 3.67
Nd (0.5000, 0.0000, 0.4011)  8 Nd 3.65-3.67, 2 Dy 3.65, 2 Pm 3.67
Nd (0.5000, 0.0000, 0.5989)  8 Nd 3.65-3.67, 2 Dy 3.65, 2 Pm 3.67
Nd (0.5000, 0.0000, 0.7995)  8 Nd 3.67-3.68, 4 Pm 3.67
Nd (0.5000, 0.5000, 0.1002)  8 Nd 3.67, 4 Pm 3.67
Nd (0.5000, 0.5000, 0.3010)  8 Nd 3.67-3.68, 4 Pm 3.67
Nd (0.5000, 0.5000, 0.5000)  8 Nd 3.65, 4 Dy 3.67
Nd (0.5000, 0.5000, 0.6990)  8 Nd 3.67-3.68, 4 Pm 3.67
Nd (0.5000, 0.5000, 0.8998)  8 Nd 3.67, 4 Pm 3.67
Dy (0.0000, 0.0000, 0.5000)  12 Nd 3.65-3.67

Entry 11:
Density functional theory data (GGA-PBE) for a relaxed Na17Tl11In crystal.

Its raw total energy is -1.8696 eV per atom. For the volume, the calculation gives 29.57 A^3/atom. For the formation energy, the calculation gives -10 kJ per mole of atoms. Its space-group type is Cm, No. 8.

Unit cell a=10.3823 b=10.3823 c=10.3298 alpha=109.40 beta=109.40 gamma=109.60
With the nearest neighbours (Å) after each atom.
Element x y z (fractional)
Na (0.0000, 0.0000, 0.0000)  4 Na 3.50, 1 In 3.70, 11 Tl 3.76-3.79
Na (0.0003, 0.6633, 0.0001)  4 Na 3.37-3.50, 1 In 3.53, 5 Tl 3.54-3.56
Na (0.0012, 0.0012, 0.6623)  4 Na 3.38-3.50, 6 Tl 3.56-3.61
Na (0.2782, 0.5855, 0.5867)  4 Tl 3.28-3.46, 7 Na 3.37-3.67, 1 In 3.38
Na (0.3083, 0.7220, 0.3083)  5 Tl 3.28-3.45, 5 Na 3.37-3.67
Na (0.3125, 0.3125, 0.7226)  1 In 3.33, 4 Tl 3.36-3.46, 7 Na 3.41-3.68
Na (0.3371, 0.3371, 0.3379)  4 Na 3.37-3.50, 6 Tl 3.57
Na (0.4129, 0.9993, 0.6908)  5 Tl 3.27-3.45, 4 Na 3.38-3.67
Na (0.4141, 0.6909, 0.9978)  4 Tl 3.28-3.42, 7 Na 3.37-3.67, 1 In 3.47
Na (0.5855, 0.2782, 0.5867)  4 Tl 3.28-3.46, 7 Na 3.37-3.67, 1 In 3.38
Na (0.5862, 0.5862, 0.2783)  5 Tl 3.28-3.45, 7 Na 3.37-3.67
Na (0.6633, 0.0003, 0.0001)  4 Na 3.37-3.50, 1 In 3.53, 5 Tl 3.54-3.56
Na (0.6902, 0.9980, 0.4126)  5 Tl 3.28-3.45, 6 Na 3.38-3.67
Na (0.6909, 0.4141, 0.9978)  4 Tl 3.28-3.42, 7 Na 3.37-3.67, 1 In 3.47
Na (0.7220, 0.3083, 0.3083)  5 Tl 3.28-3.45, 5 Na 3.37-3.67
Na (0.9980, 0.6902, 0.4126)  5 Tl 3.28-3.45, 6 Na 3.38-3.67
Na (0.9993, 0.4129, 0.6908)  5 Tl 3.27-3.45, 4 Na 3.38-3.67
Tl (0.0000, 0.3809, 0.1907)  3 Tl 3.23, 7 Na 3.28-3.57
Tl (0.1885, 0.9984, 0.3803)  3 Tl 3.22-3.25, 7 Na 3.27-3.57
Tl (0.1895, 0.8084, 0.8081)  3 Tl 3.23-3.24, 7 Na 3.28-3.57
Tl (0.1907, 0.3812, 0.9997)  3 Tl 3.23-3.24, 7 Na 3.28-3.57
Tl (0.3809, 0.0000, 0.1907)  3 Tl 3.23, 7 Na 3.28-3.57
Tl (0.3812, 0.1907, 0.9997)  3 Tl 3.23-3.24, 7 Na 3.28-3.57
Tl (0.6169, 0.8083, 0.6198)  1 In 3.15, 2 Tl 3.23-3.25, 5 Na 3.28-3.45
Tl (0.8053, 0.8053, 0.1842)  1 In 3.15, 2 Tl 3.25, 5 Na 3.28-3.42
Tl (0.8084, 0.1895, 0.8081)  3 Tl 3.23-3.24, 7 Na 3.28-3.57
Tl (0.8083, 0.6169, 0.6198)  1 In 3.15, 2 Tl 3.23-3.25, 5 Na 3.28-3.45
Tl (0.9984, 0.1885, 0.3803)  3 Tl 3.22-3.25, 7 Na 3.27-3.57
In (0.6274, 0.6274, 0.8112)  3 Tl 3.15, 5 Na 3.33-3.47

Entry 12:
Density functional theory data (GGA-PBE) for a relaxed Ba3TlB crystal.

The value obtained for the polymorph energy (0 for the lowest one) is 0.000 eV/atom. Its raw total energy is -2.6834 eV per atom. For the volume, the calculation gives 41.96 A^3/atom. For the formation energy, the calculation gives 27 kJ per mole of atoms. Its space-group type is Pm-3m, No. 221.

Unit cell a=5.9418 b=5.9418 c=5.9418 alpha=90.00 beta=90.00 gamma=90.00
With the nearest neighbours (Å) after each atom.
Element x y z (fractional)
Ba (0.0000, 0.0000, 0.5000)  2 B 2.97
Ba (0.0000, 0.5000, 0.0000)  2 B 2.97
Ba (0.5000, 0.0000, 0.0000)  2 B 2.97
Tl (0.5000, 0.5000, 0.5000)  12 Ba 4.20
B (0.0000, 0.0000, 0.0000)  6 Ba 2.97